Entry 1:
VASP calculation (GGA-PBE) on crystalline BeGe3Ir at its relaxed geometry.

```
BeGe3Ir
1.0
4.362 0.000 0.000
0.000 4.362 0.000
0.000 0.000 4.362
Be Ge Ir
1 3 1
direct
0.000 0.000 0.000 Be
0.000 0.500 0.000 Ge
0.000 0.000 0.500 Ge
0.500 0.000 0.000 Ge
0.500 0.500 0.500 Ir
```

Summary:
Formation energy, eV/atom: 0.72
D(E_F), states/eV/atom: 0.60
Uncorrected energy, eV/atom: -4.565



Entry 2:
VASP calculation (GGA-PBE) on crystalline BeGeIr3 at its relaxed geometry.

```
BeGeIr3
1.0
-3.154 -1.996 2.537
-1.713 -1.972 -3.680
2.736 -3.535 0.620
Be Ge Ir
1 1 3
direct
0.500 0.500 0.500 Be
0.000 0.000 0.000 Ge
0.000 0.500 0.000 Ir
0.000 0.000 0.500 Ir
0.500 0.000 0.000 Ir
```

Summary:
Formation energy, eV/atom: 1.31
D(E_F), states/eV/atom: 1.03
Uncorrected energy, eV/atom: -5.672



Entry 3:
VASP calculation (GGA-PBE) on crystalline BeGeIr2 at its relaxed geometry.

```
BeGeIr2
1.0
-0.838 -3.895 -0.103
3.202 -0.629 -2.288
5.488 -3.355 5.130
Be Ge Ir
2 2 4
direct
0.500 0.500 0.000 Be
0.250 0.750 0.500 Be
0.000 0.000 0.000 Ge
0.750 0.250 0.500 Ge
0.578 0.125 0.250 Ir
0.172 0.625 0.250 Ir
0.375 0.422 0.750 Ir
0.875 0.828 0.750 Ir
```

Summary:
Formation energy, eV/atom: 0.11
D(E_F), states/eV/atom: 0.63
Uncorrected energy, eV/atom: -6.402



Entry 4:
VASP calculation (GGA-PBE) on crystalline BeGeIr3 at its relaxed geometry.

```
BeGeIr3
1.0
-2.492 -2.166 2.524
2.833 0.271 3.029
-1.744 3.537 1.314
Be Ge Ir
1 1 3
direct
0.000 0.000 0.000 Be
0.500 0.500 0.500 Ge
0.000 0.500 0.000 Ir
0.000 0.000 0.500 Ir
0.500 0.000 0.000 Ir
```

Summary:
Formation energy, eV/atom: 0.36
D(E_F), states/eV/atom: 0.72
Uncorrected energy, eV/atom: -6.620



Entry 5:
VASP calculation (GGA-PBE) on crystalline Be4GeIr at its relaxed geometry.

```
Be4GeIr
1.0
-2.137 -3.834 0.387
2.227 -3.675 0.975
-0.466 -1.873 3.962
Be Ge Ir
4 1 1
direct
0.626 0.626 0.122 Be
0.626 0.122 0.626 Be
0.626 0.626 0.626 Be
0.122 0.626 0.626 Be
0.250 0.250 0.250 Ge
0.000 0.000 0.000 Ir
```

Summary:
Formation energy, eV/atom: -0.24
D(E_F), states/eV/atom: 0.32
Uncorrected energy, eV/atom: -4.972



Entry 6:
VASP calculation (GGA-PBE) on crystalline BeGeIr at its relaxed geometry.

```
BeGeIr
1.0
-3.905 -0.563 -3.487
-3.877 -1.275 3.327
2.365 7.321 0.755
Be Ge Ir
4 4 4
direct
0.143 0.143 0.287 Be
0.857 0.857 0.713 Be
0.107 0.607 0.213 Be
0.393 0.893 0.787 Be
0.625 0.875 0.250 Ge
0.625 0.375 0.750 Ge
0.625 0.375 0.250 Ge
0.125 0.375 0.750 Ge
0.425 0.925 0.500 Ir
0.175 0.175 0.000 Ir
0.075 0.575 0.500 Ir
0.825 0.825 0.000 Ir
```

Summary:
Formation energy, eV/atom: 0.04
D(E_F), states/eV/atom: 0.21
Uncorrected energy, eV/atom: -5.698



Entry 7:
VASP calculation (GGA-PBE) on crystalline BeGe3Ir at its relaxed geometry.

```
BeGe3Ir
1.0
4.802 0.000 0.000
0.000 4.802 0.000
0.000 0.000 4.802
Be Ge Ir
1 3 1
direct
0.500 0.500 0.500 Be
0.000 0.500 0.000 Ge
0.000 0.000 0.500 Ge
0.500 0.000 0.000 Ge
0.000 0.000 0.000 Ir
```

Summary:
Formation energy, eV/atom: 0.75
D(E_F), states/eV/atom: 0.91
Uncorrected energy, eV/atom: -4.541



Entry 8:
VASP calculation (GGA-PBE) on crystalline BeGeIr2 at its relaxed geometry.

```
BeGeIr2
1.0
-2.862 -3.623 -3.124
1.476 0.133 5.374
0.317 4.620 3.103
Be Ge Ir
1 1 2
direct
0.000 0.000 0.000 Be
0.000 0.500 0.500 Ge
0.000 0.219 0.219 Ir
0.000 0.781 0.781 Ir
```

Summary:
Formation energy, eV/atom: 0.27
D(E_F), states/eV/atom: 0.71
Uncorrected energy, eV/atom: -6.247



Entry 9:
VASP calculation (GGA-PBE) on crystalline BeGe2Ir2 at its relaxed geometry.

```
BeGe2Ir2
1.0
-3.611 5.134 0.367
-0.692 -0.040 -6.249
-3.034 -2.159 0.350
Be Ge Ir
2 4 4
direct
0.000 0.000 0.000 Be
0.500 0.500 0.000 Be
0.154 0.654 0.500 Ge
0.654 0.846 0.500 Ge
0.846 0.346 0.500 Ge
0.346 0.154 0.500 Ge
0.344 0.844 0.000 Ir
0.844 0.656 0.000 Ir
0.656 0.156 0.000 Ir
0.156 0.344 0.000 Ir
```

Summary:
Formation energy, eV/atom: -0.03
D(E_F), states/eV/atom: 0.34
Uncorrected energy, eV/atom: -6.163



Entry 10:
VASP calculation (GGA-PBE) on crystalline BeGeIr2 at its relaxed geometry.

```
BeGeIr2
1.0
2.922 0.000 0.000
0.000 2.922 0.000
0.000 0.000 6.026
Be Ge Ir
1 1 2
direct
0.500 0.500 0.000 Be
0.500 0.500 0.500 Ge
0.000 0.000 0.769 Ir
0.000 0.000 0.231 Ir
```

Summary:
Formation energy, eV/atom: -0.32
D(E_F), states/eV/atom: 0.22
Uncorrected energy, eV/atom: -6.839



Entry 11:
VASP calculation (GGA-PBE) on crystalline La2BeGe4Ir3 at its relaxed geometry.

```
La2BeGe4Ir3
1.0
-0.847 -3.983 1.407
1.526 -1.627 -3.686
9.297 -0.535 4.084
La Be Ge Ir
2 1 4 3
direct
0.500 0.000 0.250 La
0.000 0.500 0.750 La
0.500 0.500 0.500 Be
0.500 0.500 0.000 Ge
0.000 0.000 0.000 Ge
0.500 0.000 0.629 Ge
0.000 0.500 0.371 Ge
0.000 0.000 0.500 Ir
0.500 0.000 0.873 Ir
0.000 0.500 0.127 Ir
```

Summary:
Formation energy, eV/atom: -0.66
D(E_F), states/eV/atom: 0.78
Uncorrected energy, eV/atom: -6.525



Entry 12:
VASP calculation (GGA-PBE) on crystalline Mg2Be2GeIr5 at its relaxed geometry.

```
Mg2Be2GeIr5
1.0
3.041 0.000 0.000
0.000 9.491 0.000
0.000 0.000 9.491
Mg Be Ge Ir
4 4 2 10
direct
0.000 0.674 0.174 Mg
0.000 0.326 0.826 Mg
0.000 0.174 0.326 Mg
0.000 0.826 0.674 Mg
0.000 0.125 0.625 Be
0.000 0.875 0.375 Be
0.000 0.625 0.875 Be
0.000 0.375 0.125 Be
0.000 0.000 0.000 Ge
0.000 0.500 0.500 Ge
0.500 0.207 0.070 Ir
0.500 0.793 0.930 Ir
0.500 0.070 0.793 Ir
0.500 0.707 0.430 Ir
0.500 0.930 0.207 Ir
0.500 0.293 0.570 Ir
0.500 0.570 0.707 Ir
0.500 0.430 0.293 Ir
0.500 0.500 0.000 Ir
0.500 0.000 0.500 Ir
```

Summary:
Formation energy, eV/atom: -0.46
D(E_F), states/eV/atom: 0.51
Uncorrected energy, eV/atom: -6.416



Entry 13:
VASP calculation (GGA-PBE) on crystalline Be2GeMoIr at its relaxed geometry.

```
Be2GeMoIr
1.0
4.170 0.000 0.000
0.000 4.677 0.000
0.000 0.000 4.170
Be Mo Ir Ge
2 1 1 1
direct
0.000 0.000 0.500 Be
0.500 0.000 0.000 Be
0.500 0.500 0.500 Mo
0.000 0.000 0.000 Ir
0.000 0.500 0.000 Ge
```

Summary:
Formation energy, eV/atom: 0.68
D(E_F), states/eV/atom: 0.37
Uncorrected energy, eV/atom: -5.673



Entry 14:
VASP calculation (GGA-PBE) on crystalline Nd2BeGe3Ir4 at its relaxed geometry.

```
Nd2BeGe3Ir4
1.0
4.214 0.000 0.000
0.000 4.214 0.000
0.000 0.000 10.141
Nd Be Ge Ir
2 1 3 4
direct
0.500 0.000 0.257 Nd
0.000 0.500 0.743 Nd
0.500 0.500 0.500 Be
0.000 0.000 0.500 Ge
0.500 0.000 0.866 Ge
0.000 0.500 0.134 Ge
0.500 0.500 0.000 Ir
0.000 0.000 0.000 Ir
0.500 0.000 0.622 Ir
0.000 0.500 0.378 Ir
```

Summary:
Formation energy, eV/atom: -0.72
D(E_F), states/eV/atom: 0.78
Uncorrected energy, eV/atom: -6.979



Entry 15:
VASP calculation (GGA-PBE) on crystalline Nd2Be3Ge4Ir at its relaxed geometry.

```
Nd2Be3Ge4Ir
1.0
4.102 0.000 0.000
0.000 4.102 0.000
0.000 0.000 10.078
Nd Be Ge Ir
2 3 4 1
direct
0.500 0.000 0.247 Nd
0.000 0.500 0.753 Nd
0.000 0.000 0.500 Be
0.500 0.000 0.871 Be
0.000 0.500 0.129 Be
0.500 0.500 0.000 Ge
0.000 0.000 0.000 Ge
0.500 0.000 0.639 Ge
0.000 0.500 0.361 Ge
0.500 0.500 0.500 Ir
```

Summary:
Formation energy, eV/atom: -0.44
D(E_F), states/eV/atom: 0.53
Uncorrected energy, eV/atom: -5.246



Entry 16:
VASP calculation (GGA-PBE) on crystalline Nd2Be4Ge3Ir at its relaxed geometry.

```
Nd2Be4Ge3Ir
1.0
-0.097 0.001 -3.987
-0.734 -3.920 0.016
-9.829 1.842 0.239
Nd Be Ge Ir
2 4 3 1
direct
0.500 0.000 0.248 Nd
0.000 0.500 0.752 Nd
0.500 0.500 0.000 Be
0.000 0.000 0.000 Be
0.500 0.000 0.627 Be
0.000 0.500 0.373 Be
0.000 0.000 0.500 Ge
0.500 0.000 0.869 Ge
0.000 0.500 0.131 Ge
0.500 0.500 0.500 Ir
```

Summary:
Formation energy, eV/atom: -0.47
D(E_F), states/eV/atom: 0.60
Uncorrected energy, eV/atom: -5.184



Entry 17:
VASP calculation (GGA-PBE) on crystalline Np2Be4Ge3Ir at its relaxed geometry.

```
Np2Be4Ge3Ir
1.0
3.929 0.000 0.000
0.000 3.929 0.000
0.000 0.000 9.755
Np Be Ge Ir
2 4 3 1
direct
0.500 0.000 0.252 Np
0.000 0.500 0.748 Np
0.500 0.500 0.000 Be
0.000 0.000 0.000 Be
0.500 0.000 0.631 Be
0.000 0.500 0.369 Be
0.000 0.000 0.500 Ge
0.500 0.000 0.867 Ge
0.000 0.500 0.133 Ge
0.500 0.500 0.500 Ir
```

Summary:
Formation energy, eV/atom: -0.20
D(E_F), states/eV/atom: 1.63
Uncorrected energy, eV/atom: -6.553



Entry 18:
VASP calculation (GGA-PBE) on crystalline PaBeGeIr at its relaxed geometry.

```
PaBeGeIr
1.0
-2.769 -2.897 -0.647
1.712 -2.281 2.889
-5.057 3.539 5.791
Pa Be Ge Ir
2 2 2 2
direct
0.000 0.500 0.762 Pa
0.500 0.000 0.238 Pa
0.000 0.500 0.368 Be
0.500 0.000 0.632 Be
0.500 0.000 0.899 Ge
0.000 0.500 0.101 Ge
0.000 0.000 0.500 Ir
0.500 0.500 0.500 Ir
```

Summary:
Formation energy, eV/atom: -0.57
D(E_F), states/eV/atom: 0.68
Uncorrected energy, eV/atom: -7.243



Entry 19:
VASP calculation (GGA-PBE) on crystalline Pa2BeGe3Ir4 at its relaxed geometry.

```
Pa2BeGe3Ir4
1.0
4.122 0.000 0.000
0.000 4.122 0.000
0.000 0.000 10.199
Pa Be Ge Ir
2 1 3 4
direct
0.500 0.000 0.258 Pa
0.000 0.500 0.742 Pa
0.500 0.500 0.500 Be
0.000 0.000 0.500 Ge
0.500 0.000 0.864 Ge
0.000 0.500 0.136 Ge
0.500 0.500 0.000 Ir
0.000 0.000 0.000 Ir
0.500 0.000 0.628 Ir
0.000 0.500 0.372 Ir
```

Summary:
Formation energy, eV/atom: -0.66
D(E_F), states/eV/atom: 0.96
Uncorrected energy, eV/atom: -7.858



Entry 20:
VASP calculation (GGA-PBE) on crystalline Pa2BeGe4Ir3 at its relaxed geometry.

```
Pa2BeGe4Ir3
1.0
-2.276 -1.626 3.004
-2.462 -1.721 -2.797
6.042 -8.556 -0.055
Pa Be Ge Ir
2 1 4 3
direct
0.500 0.000 0.255 Pa
0.000 0.500 0.745 Pa
0.500 0.500 0.500 Be
0.500 0.500 0.000 Ge
0.000 0.000 0.000 Ge
0.500 0.000 0.629 Ge
0.000 0.500 0.371 Ge
0.000 0.000 0.500 Ir
0.500 0.000 0.860 Ir
0.000 0.500 0.140 Ir
```

Summary:
Formation energy, eV/atom: -0.55
D(E_F), states/eV/atom: 0.57
Uncorrected energy, eV/atom: -7.330